Entry 1:
! SbCl6 | Alexandria via LeMat-Bulk | PBE-GGA | optimized geometry; values from VASP
&SYSTEM
  ibrav = 0, nat = 28, ntyp = 2
/
ATOMIC_SPECIES
Sb 121.76 Sb.upf
Cl 35.45 Cl.upf
CELL_PARAMETERS angstrom
6.679 0.000 0.000
0.000 11.422 0.000
0.000 0.000 13.350
ATOMIC_POSITIONS angstrom
Sb 0.613 2.855 8.400
Sb 6.066 8.566 4.950
Sb 3.953 8.566 11.625
Sb 2.726 2.855 1.725
Cl 5.518 2.855 6.785
Cl 1.161 8.566 6.565
Cl 2.179 8.566 13.240
Cl 4.500 2.855 0.110
Cl 2.382 2.855 10.024
Cl 4.297 8.566 3.326
Cl 5.722 8.566 10.001
Cl 0.957 2.855 3.349
Cl 1.759 4.554 7.151
Cl 4.920 6.868 6.199
Cl 5.099 6.868 12.874
Cl 4.920 10.265 6.199
Cl 1.580 4.554 0.476
Cl 1.759 1.157 7.151
Cl 1.580 1.157 0.476
Cl 5.099 10.265 12.874
Cl 6.153 4.552 9.659
Cl 0.526 6.870 3.690
Cl 2.813 6.870 10.365
Cl 0.526 10.263 3.690
Cl 3.866 4.552 2.985
Cl 6.153 1.159 9.659
Cl 3.866 1.159 2.985
Cl 2.813 10.263 10.365
! total DFT energy (no corrections) = -73.3 eV/cell
! space group = Pnma (62)
! formation energy without anion corrections = -0.45 eV/atom
! Fermi-level density of states = 11.5 states/eV/f.u.

Entry 2:
! Sb3Cl2 | Alexandria via LeMat-Bulk | PBE-GGA | optimized geometry; values from VASP
&SYSTEM
  ibrav = 0, nat = 5, ntyp = 2
/
ATOMIC_SPECIES
Sb 121.76 Sb.upf
Cl 35.45 Cl.upf
CELL_PARAMETERS angstrom
2.156 -3.735 0.000
2.156 3.735 0.000
0.000 0.000 11.558
ATOMIC_POSITIONS angstrom
Sb 0.000 0.000 0.000
Sb 2.156 -1.245 6.568
Sb 2.156 1.245 4.991
Cl 2.156 -1.245 1.296
Cl 2.156 1.245 10.263
! total DFT energy (no corrections) = -17.0 eV/cell
! space group = P-3m1 (164)
! formation energy without anion corrections = -0.18 eV/atom
! Fermi-level density of states = 2.1 states/eV/f.u.
! polymorph energy (0 for the lowest one) = 17 meV per atom

Entry 3:
! SbCl3 | Alexandria via LeMat-Bulk | PBE-GGA | optimized geometry; values from VASP
&SYSTEM
  ibrav = 0, nat = 8, ntyp = 2
/
ATOMIC_SPECIES
Sb 121.76 Sb.upf
Cl 35.45 Cl.upf
CELL_PARAMETERS angstrom
5.008 0.000 0.000
0.000 5.008 0.000
2.504 2.504 8.866
ATOMIC_POSITIONS angstrom
Sb 0.000 0.000 0.000
Sb 5.008 2.504 4.433
Cl 2.504 2.504 0.000
Cl 2.504 5.008 4.433
Cl 4.120 1.252 2.216
Cl 0.888 3.756 2.216
Cl 3.756 3.392 6.649
Cl 6.260 6.625 6.649
! total DFT energy (no corrections) = -20.7 eV/cell
! space group = I-42d (122)
! formation energy without anion corrections = -0.17 eV/atom
! Fermi-level density of states = 0.0 states/eV/f.u.

Entry 4:
! Sb4Cl | Alexandria via LeMat-Bulk | PBE-GGA | optimized geometry; values from VASP
&SYSTEM
  ibrav = 0, nat = 5, ntyp = 2
/
ATOMIC_SPECIES
Sb 121.76 Sb.upf
Cl 35.45 Cl.upf
CELL_PARAMETERS angstrom
5.329 0.000 0.000
0.000 5.329 0.000
0.000 0.000 5.329
ATOMIC_POSITIONS angstrom
Sb 0.000 0.000 0.000
Sb 2.664 0.000 2.664
Sb 0.000 2.664 2.664
Sb 2.664 2.664 0.000
Cl 2.664 2.664 2.664
! total DFT energy (no corrections) = -14.6 eV/cell
! space group = Pm-3m (221)
! formation energy without anion corrections = 0.75 eV/atom
! Fermi-level density of states = 4.1 states/eV/f.u.
! polymorph energy (0 for the lowest one) = 746 meV per atom

Entry 5:
! SbCl3 | Alexandria via LeMat-Bulk | PBE-GGA | optimized geometry; values from VASP
&SYSTEM
  ibrav = 0, nat = 8, ntyp = 2
/
ATOMIC_SPECIES
Sb 121.76 Sb.upf
Cl 35.45 Cl.upf
CELL_PARAMETERS angstrom
-1.822 5.946 -6.297
-5.537 -6.654 -1.843
-2.524 1.505 2.151
ATOMIC_POSITIONS angstrom
Sb -4.764 3.515 -3.425
Sb -5.118 -2.718 -2.563
Cl -6.913 -3.774 -0.849
Cl -2.969 4.571 -5.140
Cl -7.253 -1.131 -3.095
Cl -2.630 1.928 -2.893
Cl -4.932 1.707 -5.440
Cl -4.950 -0.910 -0.549
! total DFT energy (no corrections) = -25.5 eV/cell
! space group = Cmcm (63)
! formation energy without anion corrections = -0.77 eV/atom
! Fermi-level density of states = 0.0 states/eV/f.u.

Entry 6:
! Sb5Cl | Alexandria via LeMat-Bulk | PBE-GGA | optimized geometry; values from VASP
&SYSTEM
  ibrav = 0, nat = 6, ntyp = 2
/
ATOMIC_SPECIES
Sb 121.76 Sb.upf
Cl 35.45 Cl.upf
CELL_PARAMETERS angstrom
-1.736 -5.844 -1.254
-5.462 -1.096 -2.776
-0.150 -2.006 -5.890
ATOMIC_POSITIONS angstrom
Sb -1.837 -2.236 -2.480
Sb -4.605 -5.606 -6.217
Sb -4.529 -4.590 -3.233
Sb -3.725 -2.645 -5.581
Sb -1.838 -5.051 -4.810
Cl 0.000 0.000 0.000
! total DFT energy (no corrections) = -20.9 eV/cell
! space group = F-43m (216)
! formation energy without anion corrections = 0.25 eV/atom
! Fermi-level density of states = 4.0 states/eV/f.u.
! polymorph energy (0 for the lowest one) = 245 meV per atom

Entry 7:
! Sb5Cl | Alexandria via LeMat-Bulk | PBE-GGA | optimized geometry; values from VASP
&SYSTEM
  ibrav = 0, nat = 6, ntyp = 2
/
ATOMIC_SPECIES
Sb 121.76 Sb.upf
Cl 35.45 Cl.upf
CELL_PARAMETERS angstrom
1.564 -12.574 0.000
1.564 12.574 0.000
0.000 0.000 4.514
ATOMIC_POSITIONS angstrom
Sb 1.564 3.769 0.000
Sb 1.564 -4.470 0.000
Sb 1.564 1.839 2.257
Sb 1.564 -6.457 2.257
Sb 1.564 10.298 2.257
Cl 1.564 11.786 0.000
! total DFT energy (no corrections) = -22.4 eV/cell
! space group = Amm2 (38)
! formation energy without anion corrections = 0.01 eV/atom
! Fermi-level density of states = 2.0 states/eV/f.u.
! polymorph energy (0 for the lowest one) = 0 meV per atom

Entry 8:
! Sc2SbCl | Alexandria via LeMat-Bulk | PBE-GGA | optimized geometry; values from VASP
&SYSTEM
  ibrav = 0, nat = 4, ntyp = 3
/
ATOMIC_SPECIES
Sc 44.96 Sc.upf
Sb 121.76 Sb.upf
Cl 35.45 Cl.upf
CELL_PARAMETERS angstrom
-0.925 -4.022 -2.796
-3.741 0.061 -3.294
0.983 0.081 -4.887
ATOMIC_POSITIONS angstrom
Sc -0.921 -0.970 -2.744
Sc -2.763 -2.910 -8.232
Sb -1.842 -1.940 -5.488
Cl 0.000 0.000 0.000
! total DFT energy (no corrections) = -22.2 eV/cell
! space group = Fm-3m (225)
! formation energy without anion corrections = -0.90 eV/atom
! Fermi-level density of states = 2.0 states/eV/f.u.
! polymorph energy (0 for the lowest one) = 88 meV per atom